{"formula": "Ca2ZnCr", "functional": "meta-GGA SCAN", "state": "PBEsol geometry", "cell": [[3.479, 0.039, 0.000], [-0.038, 3.479, 0.000], [0.000, 0.000, 8.219]], "species": ["Cr", "Zn", "Ca", "Ca"], "frac_coords": [[0.000, 0.000, 0.433], [0.500, 0.500, 0.311], [0.000, 0.000, 0.066], [0.500, 0.500, 0.690]], "magmom_total_mub_per_fu": 4.13, "energy_ev_per_atom": -12.733, "e_form_mev_per_atom": 74}